No. 1
Ba2HgAs2 at its PBEsol-relaxed geometry. Source: Alexandria via LeMat-Bulk, functional SCAN.

```
10
Lattice="8.2182 0.0000 0.0000 0.0000 8.2182 0.0000 0.0000 0.0000 4.5362" Properties=species:S:1:pos:R:3 pbc="T T T"
Ba 1.5198 2.5893 0.0000
Ba 2.5893 6.6984 0.0000
Ba 5.6289 1.5198 0.0000
Ba 6.6984 5.6289 0.0000
Hg 0.0000 0.0000 2.2681
Hg 4.1091 4.1091 2.2681
As 0.8668 4.9759 2.2681
As 3.2423 0.8668 2.2681
As 4.9759 7.3514 2.2681
As 7.3514 3.2423 2.2681
```

**SG**: P4/mbm
**Energy of formation**: -95.1 kJ/mol of atoms
**Spin magnetization**: 0.0 μB per cell
**Mass density**: 6.78 g cm⁻³

No. 2
BaHgAs at its PBEsol-relaxed geometry. Source: Alexandria via LeMat-Bulk, functional SCAN.

```
3
Lattice="4.6552 0.0000 0.0000 -2.3276 4.0315 0.0000 0.0000 0.0000 4.7186" Properties=species:S:1:pos:R:3 pbc="T T T"
Ba 0.0000 0.0000 0.0000
Hg 2.3276 1.3438 2.6213
As 0.0000 2.6877 2.0374
```

**SG**: P3m1
**Energy of formation**: -75.5 kJ/mol of atoms
**Spin magnetization**: 0.0 μB per cell
**Mass density**: 7.74 g cm⁻³

No. 3
Ba3HgAs at its PBEsol-relaxed geometry. Source: Alexandria via LeMat-Bulk, functional SCAN.

```
5
Lattice="6.2558 0.0000 0.0000 0.0000 6.2558 0.0000 0.0000 0.0000 6.2558" Properties=species:S:1:pos:R:3 pbc="T T T"
Ba 0.0000 0.0000 3.1279
Ba 0.0000 3.1279 0.0000
Ba 3.1279 0.0000 0.0000
Hg 3.1279 3.1279 3.1279
As 0.0000 0.0000 0.0000
```

**SG**: Pm-3m
**Energy of formation**: -58.4 kJ/mol of atoms
**Spin magnetization**: 0.0 μB per cell
**Polymorph energy (0 for the lowest one)**: 0.00 eV per formula unit
**Mass density**: 4.66 g cm⁻³

No. 4
Ba2HgAs at its PBEsol-relaxed geometry. Source: Alexandria via LeMat-Bulk, functional SCAN.

```
4
Lattice="4.0786 0.0000 0.0000 0.0000 4.0786 0.0000 0.0000 0.0000 7.8332" Properties=species:S:1:pos:R:3 pbc="T T T"
Ba 0.0000 0.0000 1.7038
Ba 0.0000 0.0000 6.1294
Hg 2.0393 2.0393 3.9166
As 2.0393 2.0393 0.0000
```

**SG**: P4/mmm
**Energy of formation**: -91.5 kJ/mol of atoms
**Spin magnetization**: 0.0 μB per cell
**Polymorph energy (0 for the lowest one)**: 0.04 eV per formula unit
**Mass density**: 7.01 g cm⁻³

No. 5
BaHg2As at its PBEsol-relaxed geometry. Source: Alexandria via LeMat-Bulk, functional SCAN.

```
8
Lattice="4.7851 0.0000 0.0000 0.0000 5.8350 0.0000 0.0000 0.0000 7.9656" Properties=species:S:1:pos:R:3 pbc="T T T"
Ba 0.0000 0.0000 0.0000
Ba 2.3925 2.9175 3.9828
Hg 0.0000 0.0000 4.2296
Hg 0.0000 2.9175 6.2537
Hg 2.3925 0.0000 2.2709
Hg 2.3925 2.9175 0.2468
As 0.0000 2.9175 1.7294
As 2.3925 0.0000 5.7122
```

**SG**: Imm2
**Energy of formation**: -48.3 kJ/mol of atoms
**Spin magnetization**: 0.0 μB per cell
**Mass density**: 9.16 g cm⁻³

No. 6
Ba2HgAs at its PBEsol-relaxed geometry. Source: Alexandria via LeMat-Bulk, functional SCAN.

```
8
Lattice="4.8261 0.0000 0.0000 0.0000 4.6785 0.0000 0.0000 0.0000 12.1338" Properties=species:S:1:pos:R:3 pbc="T T T"
Ba 0.0000 0.0000 0.0000
Ba 0.0000 2.3393 6.0669
Ba 2.4131 0.0000 3.2540
Ba 2.4131 2.3393 9.3209
Hg 0.0000 0.0000 8.6650
Hg 0.0000 2.3393 2.5980
As 2.4131 0.0000 6.7399
As 2.4131 2.3393 0.6729
```

**SG**: Amm2
**Energy of formation**: -92.5 kJ/mol of atoms
**Spin magnetization**: 0.0 μB per cell
**Polymorph energy (0 for the lowest one)**: 0.00 eV per formula unit
**Mass density**: 6.67 g cm⁻³

Number 1 is which compound? Ba2HgAs2

Number 5 is which compound? BaHg2As